(1)
! KDyTe2, relaxed, DFT PBE; values from VASP
&SYSTEM
  ibrav = 0, nat = 4, ntyp = 3
/
ATOMIC_SPECIES
K 39.10 K.upf
Te 127.60 Te.upf
Dy 162.50 Dy.upf
ATOMIC_POSITIONS angstrom
K -1.162 0.639 6.541
Te -0.796 0.439 2.970
Te 1.919 -1.076 6.775
Dy -0.624 0.333 11.382
CELL_PARAMETERS angstrom
-1.535 3.411 2.454
-3.711 -0.498 2.449
2.882 -1.614 8.125
! - Energy relative to the elements, uncorrected: -533.6 kJ/mol of formula units
! - Crystal system: trigonal

---

(2)
! SmHoSnPd, relaxed, DFT PBE; values from VASP
&SYSTEM
  ibrav = 0, nat = 4, ntyp = 4
/
ATOMIC_SPECIES
Ho 164.93 Ho.upf
Sm 150.36 Sm.upf
Sn 118.71 Sn.upf
Pd 106.42 Pd.upf
ATOMIC_POSITIONS angstrom
Ho 5.201 3.003 2.123
Sm 0.000 0.000 0.000
Sn 2.601 1.502 1.062
Pd 7.802 4.505 3.185
CELL_PARAMETERS angstrom
5.201 0.000 0.000
2.601 4.505 0.000
2.601 1.502 4.247
! - ΔE_f: -720 meV/atom
! - Crystal system: cubic
! - DOS(E_F): 0.68 states/eV/atom

---

(3)
! Cd12In17, relaxed, DFT PBE; values from VASP
&SYSTEM
  ibrav = 0, nat = 29, ntyp = 2
/
ATOMIC_SPECIES
In 114.82 In.upf
Cd 112.41 Cd.upf
ATOMIC_POSITIONS angstrom
In -0.126 4.769 2.965
In 1.565 2.710 1.106
Cd 6.675 1.506 4.720
In 4.193 2.275 2.965
In -3.089 5.350 -2.184
In 5.240 2.493 -0.326
In 1.440 2.493 5.049
In 0.000 0.000 6.553
Cd 4.665 5.028 1.430
In 0.000 0.000 0.000
Cd -2.033 6.534 4.720
In 3.801 0.000 5.475
Cd -0.881 1.526 3.091
In 6.178 0.000 -2.184
Cd 0.012 3.032 -1.861
In -3.214 5.567 1.759
Cd 2.620 1.526 -1.861
In 4.528 3.292 -3.617
In -0.461 5.785 -0.326
Cd 3.502 0.000 0.631
In 6.428 0.000 1.759
Cd 3.773 6.534 -3.490
Cd 2.903 5.028 3.922
Cd -1.751 3.032 0.631
In 0.587 5.567 -3.617
In 2.753 4.769 -1.107
Cd 2.022 6.554 1.430
Cd 1.762 0.000 3.091
In -1.900 3.292 5.475
CELL_PARAMETERS angstrom
9.307 0.000 -3.291
-4.654 8.060 -3.291
0.000 0.000 9.872
! - ΔE_f: 18 meV/atom
! - Crystal system: cubic
! - DOS(E_F): 0.28 states/eV/atom

---

(4)
! AcIn6, relaxed, DFT PBE; values from VASP
&SYSTEM
  ibrav = 0, nat = 14, ntyp = 2
/
ATOMIC_SPECIES
In 114.82 In.upf
Ac 227.00 Ac.upf
ATOMIC_POSITIONS angstrom
In 5.597 2.209 5.677
In 3.387 3.387 7.373
In 1.178 2.209 3.120
In 4.565 1.178 3.120
In 2.209 1.178 5.677
In 1.178 4.565 5.677
In 5.597 4.565 3.120
In 3.387 3.387 1.424
In 4.565 5.597 5.677
In 0.000 0.000 1.424
In 2.209 5.597 3.120
Ac 0.000 3.387 0.000
In 0.000 0.000 7.373
Ac 3.387 0.000 0.000
CELL_PARAMETERS angstrom
6.775 0.000 0.000
0.000 6.775 0.000
0.000 0.000 8.797
! - ΔE_f: -227 meV/atom
! - Crystal system: tetragonal
! - DOS(E_F): 0.20 states/eV/atom
! - Offset from the most stable computed form: 0 kJ/mol of formula units

---

| no. | uncorrected energy (eV per atom) | volume (Å³/atom) |
| --- | --- | --- |
| 1 | -4.378 | 36.32 |
| 2 | -5.343 | 24.88 |
| 3 | -1.966 | 25.54 |
| 4 | -3.161 | 28.84 |